Computed, not measured: a relaxed Ce2Ga3Cu4Sn crystal at the PBE level of DFT.

a b c (Å): 4.2792 4.2792 10.1852
angles (deg): 90.00 90.00 90.00
Site moments in Bohr magnetons follow the coordinates.
Atoms (fractional coordinates):
Ce: 0.0000 0.5000 0.7656  0.52
Ce: 0.5000 0.0000 0.2344  0.52
Ga: 0.5000 0.0000 0.8773  0.00
Ga: 0.0000 0.5000 0.1227  0.00
Ga: 0.0000 0.0000 0.5000  0.00
Cu: 0.0000 0.5000 0.3568  0.00
Cu: 0.0000 0.0000 0.0000  0.00
Cu: 0.5000 0.0000 0.6432  0.00
Cu: 0.5000 0.5000 0.0000  0.00
Sn: 0.5000 0.5000 0.5000  -0.01

Calculated values
V = 186.5 Å³/cell
E_tot = -4.512 eV per atom
formation energy = -0.379 eV per atom
D(E_F) = 13.09 states/eV/f.u.
magnetic moment = 1.15 μB/f.u.